No. 1
Entry from Alexandria via LeMat-Bulk: a relaxed structure of K2CaFe (PBE).

Total moment = 3.24 μB/cell
ρ = 1.7 Mg/m³
Density of states at the Fermi level = 1.067 states/eV per atom
Space group = R-3m (166)
Formation energy from the elements = 853 meV/atom
Excess energy over the best structure of this formula in the dataset = 274 meV per atom

Lattice parameters (Å, degrees): 12.8895 12.8895 12.8895 17.40 17.40 17.40
Last column: nearest neighbours and their distance in Å.
Fractional positions:
1 K 0.2351 0.2351 0.2351  3 Fe 3.44
2 K 0.7649 0.7649 0.7649  3 Fe 3.44
3 Ca 0.0000 0.0000 0.0000  6 Ca 3.90, 6 K 4.36
4 Fe 0.5000 0.5000 0.5000  6 K 3.44

No. 2
Entry from Alexandria via LeMat-Bulk: a relaxed structure of Cr3PbAu (PBE).

Total moment = 13.00 μB/cell
ρ = 6.6 Mg/m³
Density of states at the Fermi level = 0.340 states/eV per atom
Space group = Pm-3m (221)
Formation energy from the elements = 1482 meV/atom
Excess energy over the best structure of this formula in the dataset = 365 meV per atom

Lattice parameters (Å, degrees): 5.1922 5.1922 5.1922 90.00 90.00 90.00
Last column: nearest neighbours and their distance in Å.
Fractional positions:
1 Cr 0.0000 0.0000 0.5000  2 Pb 2.60
2 Cr 0.0000 0.5000 0.0000  2 Pb 2.60
3 Cr 0.5000 0.0000 0.0000  2 Pb 2.60
4 Pb 0.0000 0.0000 0.0000  6 Cr 2.60
5 Au 0.5000 0.5000 0.5000  12 Cr 3.67

No. 3
Entry from Alexandria via LeMat-Bulk: a relaxed structure of CoCu2Mo (PBE).

Total moment = 1.86 μB/cell
ρ = 9.0 Mg/m³
Density of states at the Fermi level = 0.644 states/eV per atom
Space group = P4/mmm (123)
Formation energy from the elements = 409 meV/atom
Excess energy over the best structure of this formula in the dataset = 254 meV per atom

Lattice parameters (Å, degrees): 4.5097 4.5097 2.5703 90.00 90.00 90.00
Last column: nearest neighbours and their distance in Å.
Fractional positions:
1 Co 0.0000 0.0000 0.0000  2 Co 2.57, 8 Cu 2.60
2 Cu 0.0000 0.5000 0.5000  2 Cu 2.57, 4 Mo 2.60, 4 Co 2.60
3 Cu 0.5000 0.0000 0.5000  2 Cu 2.57, 4 Mo 2.60, 4 Co 2.60
4 Mo 0.5000 0.5000 0.0000  2 Mo 2.57, 8 Cu 2.60

No. 4
Entry from Alexandria via LeMat-Bulk: a relaxed structure of GaCuOF2 (PBE).

Total moment = 0.63 μB/cell
ρ = 5.1 Mg/m³
Density of states at the Fermi level = 0.694 states/eV per atom
Space group = P4/mmm (123)
Excess energy over the best structure of this formula in the dataset = 379 meV per atom

Lattice parameters (Å, degrees): 3.9718 3.9718 3.8924 90.00 90.00 90.00
Last column: nearest neighbours and their distance in Å.
Fractional positions:
1 Ga 0.0000 0.0000 0.0000  8 F 2.78, 4 O 2.81
2 Cu 0.5000 0.5000 0.5000  2 O 1.95, 4 F 1.99
3 O 0.5000 0.5000 0.0000  2 Cu 1.95
4 F 0.0000 0.5000 0.5000  2 Cu 1.99
5 F 0.5000 0.0000 0.5000  2 Cu 1.99

No. 5
Entry from Alexandria via LeMat-Bulk: a relaxed structure of RbHOs2O8 (PBE).

Total moment = 0.00 μB/cell
ρ = 4.7 Mg/m³
Electronic total energy = -6.39 eV per atom
Density of states at the Fermi level = 0.333 states/eV per atom
Space group = C2/m (12)

Lattice parameters (Å, degrees): 6.5299 6.5299 7.6039 115.16 115.16 47.33
Last column: nearest neighbours and their distance in Å.
Fractional positions:
1 Rb 0.0000 0.0000 0.0000  6 O 2.86-3.13
2 H 0.5000 0.5000 0.5000  4 O 1.80
3 Os 0.1836 0.1836 0.6563  4 O 1.75-1.77
4 Os 0.8164 0.8164 0.3437  4 O 1.75-1.77
5 O 0.1665 0.6304 0.3238  1 Os 1.76, 1 H 1.80
6 O 0.1717 0.1717 0.4156  1 Os 1.77
7 O 0.3421 0.3421 0.8371  1 Os 1.75
8 O 0.3696 0.8335 0.6762  1 Os 1.76, 1 H 1.80
9 O 0.6304 0.1665 0.3238  1 Os 1.76, 1 H 1.80
10 O 0.6579 0.6579 0.1629  1 Os 1.75
11 O 0.8283 0.8283 0.5844  1 Os 1.77
12 O 0.8335 0.3696 0.6762  1 Os 1.76, 1 H 1.80

No. 6
Entry from Alexandria via LeMat-Bulk: a relaxed structure of TaH2S (PBE).

Total moment = 0.00 μB/cell
ρ = 8.4 Mg/m³
Density of states at the Fermi level = 0.256 states/eV per atom
Space group = Cmcm (63)
Excess energy over the best structure of this formula in the dataset = 57 meV per atom

Lattice parameters (Å, degrees): 4.6000 4.6000 6.2179 90.00 90.00 139.97
Last column: nearest neighbours and their distance in Å.
Fractional positions:
1 Ta 0.2406 0.7594 0.7500  6 H 2.01-2.06
2 Ta 0.7594 0.2406 0.2500  6 H 2.01-2.06
3 H 0.1893 0.8107 0.0738  3 Ta 2.01-2.06, 3 H 2.10-2.19
4 H 0.1893 0.8107 0.4262  3 Ta 2.01-2.06, 3 H 2.10-2.19
5 H 0.8107 0.1893 0.5738  3 Ta 2.01-2.06, 3 H 2.10-2.19
6 H 0.8107 0.1893 0.9262  3 Ta 2.01-2.06, 3 H 2.10-2.19
7 S 0.4734 0.5266 0.2500  3 Ta 2.43-2.47, 6 H 2.68-2.69
8 S 0.5266 0.4734 0.7500  3 Ta 2.43-2.47, 6 H 2.68-2.69

No. 7
Entry from Alexandria via LeMat-Bulk: a relaxed structure of MgTlIn2Pd (PBE).

Total moment = 0.00 μB/cell
ρ = 6.9 Mg/m³
Density of states at the Fermi level = 0.220 states/eV per atom
Space group = P4/mmm (123)
Formation energy from the elements = -170 meV/atom

Lattice parameters (Å, degrees): 5.1883 5.1883 5.0748 90.00 90.00 90.00
Last column: nearest neighbours and their distance in Å.
Fractional positions:
1 Mg 0.0000 0.0000 0.0000  2 Pd 2.54
2 Tl 0.5000 0.5000 0.0000  8 In 3.63, 4 Mg 3.67
3 In 0.0000 0.5000 0.5000  2 Pd 2.59
4 In 0.5000 0.0000 0.5000  2 Pd 2.59
5 Pd 0.0000 0.0000 0.5000  2 Mg 2.54, 4 In 2.59

No. 8
Entry from Alexandria via LeMat-Bulk: a relaxed structure of CsRb2AuF (PBE).

Total moment = 0.00 μB/cell
ρ = 4.2 Mg/m³
Density of states at the Fermi level = 0.561 states/eV per atom
Space group = Cmcm (63)
Excess energy over the best structure of this formula in the dataset = 53 meV per atom

Lattice parameters (Å, degrees): 8.8701 8.8701 10.4123 90.00 90.00 150.04
Last column: nearest neighbours and their distance in Å.
Fractional positions:
1 Cs 0.0467 0.9533 0.7500  4 F 3.56, 2 Au 3.93
2 Cs 0.9533 0.0467 0.2500  4 F 3.56, 2 Au 3.93
3 Rb 0.3482 0.6518 0.5579  1 F 2.67
4 Rb 0.3482 0.6518 0.9421  1 F 2.67
5 Rb 0.6518 0.3482 0.0579  1 F 2.67
6 Rb 0.6518 0.3482 0.4421  1 F 2.67
7 Au 0.2671 0.7329 0.2500  6 Rb 3.49-3.63
8 Au 0.7329 0.2671 0.7500  6 Rb 3.49-3.63
9 F 0.5000 0.5000 0.0000  2 Rb 2.67
10 F 0.5000 0.5000 0.5000  2 Rb 2.67